P) An optimized crystal structure of TlSn3N. Source: Alexandria, functional PBE.

Cell: 5.671 5.671 5.671 Å, 90.00 90.00 90.00°
Fractional positions:
1 Tl 0.000 0.000 0.000
2 Sn 0.000 0.000 0.500
3 Sn 0.000 0.500 0.000
4 Sn 0.500 0.000 0.000
5 N 0.500 0.500 0.500

The space-group type is Pm-3m, No. 221.


Q) An optimized crystal structure of TlSn3N. Source: Alexandria, functional PBE.

Cell: 4.907 4.907 4.907 Å, 90.00 90.00 90.00°
Fractional positions:
1 Tl 0.000 0.000 0.000
2 Sn 0.000 0.500 0.500
3 Sn 0.500 0.000 0.500
4 Sn 0.500 0.500 0.000
5 N 0.500 0.500 0.500

The space-group type is Pm-3m, No. 221.


Most stable one: Q), least stable one: P).


P) An optimized crystal structure of TlSnN. Source: Alexandria, functional PBE.

Cell: 3.499 6.086 7.561 Å, 74.27 89.54 73.33°
Fractional positions:
1 Tl 0.108 0.269 0.364
2 Tl 0.892 0.731 0.636
3 Sn 0.370 0.756 0.078
4 Sn 0.630 0.244 0.922
5 N 0.185 0.128 0.094
6 N 0.815 0.872 0.906

The space-group type is P-1, No. 2.


Q) An optimized crystal structure of TlSnN. Source: Alexandria, functional PBE.

Cell: 6.277 6.504 7.277 Å, 90.00 115.70 90.00°
Fractional positions:
1 Tl 0.147 0.139 0.384
2 Tl 0.147 0.361 0.884
3 Tl 0.853 0.639 0.116
4 Tl 0.853 0.861 0.616
5 Sn 0.414 0.647 0.631
6 Sn 0.414 0.853 0.131
7 Sn 0.586 0.147 0.869
8 Sn 0.586 0.353 0.369
9 N 0.094 0.716 0.944
10 N 0.094 0.784 0.444
11 N 0.906 0.216 0.556
12 N 0.906 0.284 0.056

The space-group type is P2_1/c, No. 14.


Most stable one: P), least stable one: Q).


P) An optimized crystal structure of USnN. Source: Alexandria, functional PBE.

Cell: 6.677 6.677 6.677 Å, 152.79 152.79 38.86°
Fractional positions:
1 U 0.000 0.000 0.000
2 Sn 0.271 0.271 0.000
3 N 0.541 0.541 0.000

The space-group type is I4mm, No. 107.


Q) An optimized crystal structure of USnN. Source: Alexandria, functional PBE.

Cell: 11.549 3.401 3.401 Å, 55.90 90.00 90.00°
Fractional positions:
1 U 0.000 0.000 0.000
2 U 0.500 0.114 0.114
3 Sn 0.226 0.294 0.294
4 Sn 0.774 0.294 0.294
5 N 0.385 0.784 0.784
6 N 0.615 0.784 0.784

The space-group type is Amm2, No. 38.


Most stable one: P), least stable one: Q).